Record 1
Material: Ta3MnAs
Method: DFT, meta-GGA SCAN
State: single point on PBEsol structure

Geometry as CIF:
```
data_Ta3MnAs
_symmetry_space_group_name_H-M 'P 1'
_symmetry_Int_Tables_number 1
_symmetry_space_group_name_Hall 'P 1'
_cell_length_a 4.5428
_cell_length_b 4.5428
_cell_length_c 4.5428
_cell_angle_alpha 90.00
_cell_angle_beta 90.00
_cell_angle_gamma 90.00
loop_
_atom_site_label
_atom_site_fract_x
_atom_site_fract_y
_atom_site_fract_z
Ta1 0.0000 0.0000 0.5000
Ta2 0.0000 0.5000 0.0000
Ta3 0.5000 0.0000 0.0000
Mn1 0.0000 0.0000 0.0000
As1 0.5000 0.5000 0.5000
```

Properties
- excess energy over the best structure of this formula in the dataset (meV/atom) = 0
- DFT total energy (eV per atom) = -46.8429
- density of states at the Fermi level (states/eV per cell) = 4.3
- energy of formation from the pure elements (eV per atom) = 0.796
- SG = Pm-3m, No. 221

Record 2
Material: TaMnAs2
Method: DFT, meta-GGA SCAN
State: single point on PBEsol structure

Geometry as CIF:
```
data_TaMnAs2
_symmetry_space_group_name_H-M 'P 1'
_symmetry_Int_Tables_number 1
_symmetry_space_group_name_Hall 'P 1'
_cell_length_a 2.7964
_cell_length_b 2.7964
_cell_length_c 9.0449
_cell_angle_alpha 90.00
_cell_angle_beta 90.00
_cell_angle_gamma 103.11
loop_
_atom_site_label
_atom_site_fract_x
_atom_site_fract_y
_atom_site_fract_z
Ta1 0.0000 0.0000 0.0000
Mn1 0.5000 0.5000 0.2202
As1 0.0000 0.0000 0.4071
As2 0.5000 0.5000 0.7750
```

Properties
- excess energy over the best structure of this formula in the dataset (meV/atom) = 0
- DFT total energy (eV per atom) = -31.4495
- density of states at the Fermi level (states/eV per cell) = 1.1
- energy of formation from the pure elements (eV per atom) = -0.145
- SG = Cmm2, No. 35

Record 3
Material: TaMnAs2
Method: DFT, meta-GGA SCAN
State: single point on PBEsol structure

Geometry as CIF:
```
data_TaMnAs2
_symmetry_space_group_name_H-M 'P 1'
_symmetry_Int_Tables_number 1
_symmetry_space_group_name_Hall 'P 1'
_cell_length_a 4.4328
_cell_length_b 4.4328
_cell_length_c 4.4328
_cell_angle_alpha 60.00
_cell_angle_beta 60.00
_cell_angle_gamma 60.00
loop_
_atom_site_label
_atom_site_fract_x
_atom_site_fract_y
_atom_site_fract_z
Ta1 0.0000 0.0000 0.0000
Mn1 0.7500 0.7500 0.7500
As1 0.2500 0.2500 0.2500
As2 0.5000 0.5000 0.5000
```

Properties
- excess energy over the best structure of this formula in the dataset (meV/atom) = 313
- DFT total energy (eV per atom) = -31.1365
- density of states at the Fermi level (states/eV per cell) = 0.8
- energy of formation from the pure elements (eV per atom) = 0.168
- SG = F-43m, No. 216

Record 4
Material: Ta3MnAs
Method: DFT, meta-GGA SCAN
State: single point on PBEsol structure

Geometry as CIF:
```
data_Ta3MnAs
_symmetry_space_group_name_H-M 'P 1'
_symmetry_Int_Tables_number 1
_symmetry_space_group_name_Hall 'P 1'
_cell_length_a 4.6691
_cell_length_b 4.6691
_cell_length_c 4.6691
_cell_angle_alpha 90.00
_cell_angle_beta 90.00
_cell_angle_gamma 90.00
loop_
_atom_site_label
_atom_site_fract_x
_atom_site_fract_y
_atom_site_fract_z
Ta1 0.0000 0.0000 0.5000
Ta2 0.0000 0.5000 0.0000
Ta3 0.5000 0.0000 0.0000
Mn1 0.5000 0.5000 0.5000
As1 0.0000 0.0000 0.0000
```

Properties
- excess energy over the best structure of this formula in the dataset (meV/atom) = 124
- DFT total energy (eV per atom) = -46.7191
- density of states at the Fermi level (states/eV per cell) = 3.9
- energy of formation from the pure elements (eV per atom) = 0.920
- SG = Pm-3m, No. 221

Record 5
Material: Ta2MnAs
Method: DFT, meta-GGA SCAN
State: single point on PBEsol structure

Geometry as CIF:
```
data_Ta2MnAs
_symmetry_space_group_name_H-M 'P 1'
_symmetry_Int_Tables_number 1
_symmetry_space_group_name_Hall 'P 1'
_cell_length_a 3.8963
_cell_length_b 5.0526
_cell_length_c 5.0526
_cell_angle_alpha 37.30
_cell_angle_beta 90.00
_cell_angle_gamma 90.00
loop_
_atom_site_label
_atom_site_fract_x
_atom_site_fract_y
_atom_site_fract_z
Ta1 0.0000 0.0000 0.0000
Ta2 0.5000 0.3074 0.3074
Mn1 0.0000 0.7427 0.7427
As1 0.5000 0.5839 0.5839
```

Properties
- DFT total energy (eV per atom) = -43.0755
- density of states at the Fermi level (states/eV per cell) = 1.9
- energy of formation from the pure elements (eV per atom) = -0.172
- SG = Amm2, No. 38

Record 6
Material: MnTcAs
Method: DFT, meta-GGA SCAN
State: single point on PBEsol structure

Geometry as CIF:
```
data_MnTcAs
_symmetry_space_group_name_H-M 'P 1'
_symmetry_Int_Tables_number 1
_symmetry_space_group_name_Hall 'P 1'
_cell_length_a 4.3704
_cell_length_b 4.3704
_cell_length_c 4.3704
_cell_angle_alpha 142.47
_cell_angle_beta 129.13
_cell_angle_gamma 64.90
loop_
_atom_site_label
_atom_site_fract_x
_atom_site_fract_y
_atom_site_fract_z
Mn1 0.0000 0.0000 0.0000
Tc1 0.6580 0.6580 0.0000
As1 0.3273 0.3273 0.0000
```

Properties
- DFT total energy (eV per atom) = -24.3439
- density of states at the Fermi level (states/eV per cell) = 2.6
- energy of formation from the pure elements (eV per atom) = 0.158
- SG = Imm2, No. 44

Record 7
Material: Mn2TcAs
Method: DFT, meta-GGA SCAN
State: single point on PBEsol structure

Geometry as CIF:
```
data_Mn2TcAs
_symmetry_space_group_name_H-M 'P 1'
_symmetry_Int_Tables_number 1
_symmetry_space_group_name_Hall 'P 1'
_cell_length_a 3.6648
_cell_length_b 3.6648
_cell_length_c 3.8091
_cell_angle_alpha 90.00
_cell_angle_beta 90.00
_cell_angle_gamma 90.00
loop_
_atom_site_label
_atom_site_fract_x
_atom_site_fract_y
_atom_site_fract_z
Mn1 0.0000 0.5000 0.0000
Mn2 0.5000 0.0000 0.0000
Tc1 0.0000 0.0000 0.5000
As1 0.5000 0.5000 0.5000
```

Properties
- DFT total energy (eV per atom) = -23.1069
- density of states at the Fermi level (states/eV per cell) = 2.0
- energy of formation from the pure elements (eV per atom) = -0.167
- SG = P4/mmm, No. 123

Record 8
Material: Mn2TcAs
Method: DFT, meta-GGA SCAN
State: single point on PBEsol structure

Geometry as CIF:
```
data_Mn2TcAs
_symmetry_space_group_name_H-M 'P 1'
_symmetry_Int_Tables_number 1
_symmetry_space_group_name_Hall 'P 1'
_cell_length_a 4.5592
_cell_length_b 4.5592
_cell_length_c 4.5592
_cell_angle_alpha 132.94
_cell_angle_beta 132.94
_cell_angle_gamma 68.75
loop_
_atom_site_label
_atom_site_fract_x
_atom_site_fract_y
_atom_site_fract_z
Mn1 0.2500 0.7500 0.5000
Mn2 0.7500 0.2500 0.5000
Tc1 0.0000 0.0000 0.0000
As1 0.5000 0.5000 0.0000
```

Properties
- DFT total energy (eV per atom) = -22.9886
- density of states at the Fermi level (states/eV per cell) = 2.9
- energy of formation from the pure elements (eV per atom) = -0.048
- SG = I4/mmm, No. 139

Record 9
Material: Mn2TcAs
Method: DFT, meta-GGA SCAN
State: single point on PBEsol structure

Geometry as CIF:
```
data_Mn2TcAs
_symmetry_space_group_name_H-M 'P 1'
_symmetry_Int_Tables_number 1
_symmetry_space_group_name_Hall 'P 1'
_cell_length_a 2.7618
_cell_length_b 3.6674
_cell_length_c 4.9839
_cell_angle_alpha 90.00
_cell_angle_beta 90.00
_cell_angle_gamma 90.00
loop_
_atom_site_label
_atom_site_fract_x
_atom_site_fract_y
_atom_site_fract_z
Mn1 0.0000 0.0000 0.2493
Mn2 0.0000 0.0000 0.7507
Tc1 0.5000 0.5000 0.0000
As1 0.5000 0.5000 0.5000
```

Properties
- DFT total energy (eV per atom) = -23.0085
- density of states at the Fermi level (states/eV per cell) = 3.2
- energy of formation from the pure elements (eV per atom) = -0.068
- SG = Pmmm, No. 47

Record 10
Material: MnTeAs2
Method: DFT, meta-GGA SCAN
State: single point on PBEsol structure

Geometry as CIF:
```
data_MnTeAs2
_symmetry_space_group_name_H-M 'P 1'
_symmetry_Int_Tables_number 1
_symmetry_space_group_name_Hall 'P 1'
_cell_length_a 2.9676
_cell_length_b 2.9676
_cell_length_c 8.2641
_cell_angle_alpha 90.00
_cell_angle_beta 90.00
_cell_angle_gamma 90.00
loop_
_atom_site_label
_atom_site_fract_x
_atom_site_fract_y
_atom_site_fract_z
Mn1 0.0000 0.0000 0.0000
Te1 0.5000 0.5000 0.1933
As1 0.0000 0.0000 0.5406
As2 0.5000 0.5000 0.8226
```

Properties
- DFT total energy (eV per atom) = -23.5852
- density of states at the Fermi level (states/eV per cell) = 2.3
- E_form (uncorrected) (eV/atom) = 0.39
- SG = P4mm, No. 99

Record 11
Material: MnTe2As2
Method: DFT, meta-GGA SCAN
State: single point on PBEsol structure

Geometry as CIF:
```
data_MnTe2As2
_symmetry_space_group_name_H-M 'P 1'
_symmetry_Int_Tables_number 1
_symmetry_space_group_name_Hall 'P 1'
_cell_length_a 6.2591
_cell_length_b 6.2591
_cell_length_c 5.9355
_cell_angle_alpha 90.00
_cell_angle_beta 90.00
_cell_angle_gamma 90.00
loop_
_atom_site_label
_atom_site_fract_x
_atom_site_fract_y
_atom_site_fract_z
Mn1 0.0000 0.0000 0.0000
Mn2 0.5000 0.5000 0.0000
Te1 0.1699 0.3301 0.5000
Te2 0.3301 0.8301 0.5000
Te3 0.6699 0.1699 0.5000
Te4 0.8301 0.6699 0.5000
As1 0.1434 0.3566 0.0000
As2 0.3566 0.8566 0.0000
As3 0.6434 0.1434 0.0000
As4 0.8566 0.6434 0.0000
```

Properties
- DFT total energy (eV per atom) = -26.6394
- density of states at the Fermi level (states/eV per cell) = 4.5
- E_form (uncorrected) (eV/atom) = -0.01
- SG = P4/mbm, No. 127

Record 12
Material: Mn2TeAs
Method: DFT, meta-GGA SCAN
State: single point on PBEsol structure

Geometry as CIF:
```
data_Mn2TeAs
_symmetry_space_group_name_H-M 'P 1'
_symmetry_Int_Tables_number 1
_symmetry_space_group_name_Hall 'P 1'
_cell_length_a 3.2832
_cell_length_b 3.2832
_cell_length_c 6.4483
_cell_angle_alpha 90.00
_cell_angle_beta 90.00
_cell_angle_gamma 90.00
loop_
_atom_site_label
_atom_site_fract_x
_atom_site_fract_y
_atom_site_fract_z
Mn1 0.0000 0.0000 0.0000
Mn2 0.5000 0.5000 0.2295
Te1 0.0000 0.0000 0.4232
As1 0.5000 0.5000 0.8523
```

Properties
- excess energy over the best structure of this formula in the dataset (meV/atom) = 151
- DFT total energy (eV per atom) = -23.7316
- density of states at the Fermi level (states/eV per cell) = 1.7
- E_form (uncorrected) (eV/atom) = -0.24
- SG = P4mm, No. 99

Record 13
Material: MnTe2As
Method: DFT, meta-GGA SCAN
State: single point on PBEsol structure

Geometry as CIF:
```
data_MnTe2As
_symmetry_space_group_name_H-M 'P 1'
_symmetry_Int_Tables_number 1
_symmetry_space_group_name_Hall 'P 1'
_cell_length_a 3.4280
_cell_length_b 3.4280
_cell_length_c 7.0087
_cell_angle_alpha 90.00
_cell_angle_beta 90.00
_cell_angle_gamma 90.00
loop_
_atom_site_label
_atom_site_fract_x
_atom_site_fract_y
_atom_site_fract_z
Mn1 0.0000 0.0000 0.0000
Te1 0.5000 0.5000 0.2256
Te2 0.5000 0.5000 0.7744
As1 0.0000 0.0000 0.5000
```

Properties
- DFT total energy (eV per atom) = -28.0676
- density of states at the Fermi level (states/eV per cell) = 2.0
- E_form (uncorrected) (eV/atom) = 0.17
- SG = P4/mmm, No. 123

Record 14
Material: Mn2TeAs
Method: DFT, meta-GGA SCAN
State: single point on PBEsol structure

Geometry as CIF:
```
data_Mn2TeAs
_symmetry_space_group_name_H-M 'P 1'
_symmetry_Int_Tables_number 1
_symmetry_space_group_name_Hall 'P 1'
_cell_length_a 6.3473
_cell_length_b 6.3473
_cell_length_c 6.3473
_cell_angle_alpha 34.33
_cell_angle_beta 34.33
_cell_angle_gamma 34.33
loop_
_atom_site_label
_atom_site_fract_x
_atom_site_fract_y
_atom_site_fract_z
Mn1 0.2341 0.2341 0.2341
Mn2 0.7659 0.7659 0.7659
Te1 0.0000 0.0000 0.0000
As1 0.5000 0.5000 0.5000
```

Properties
- excess energy over the best structure of this formula in the dataset (meV/atom) = 0
- DFT total energy (eV per atom) = -23.8824
- density of states at the Fermi level (states/eV per cell) = 2.1
- E_form (uncorrected) (eV/atom) = -0.39
- SG = R-3m, No. 166

Record 15
Material: MnTe2As
Method: DFT, meta-GGA SCAN
State: single point on PBEsol structure

Geometry as CIF:
```
data_MnTe2As
_symmetry_space_group_name_H-M 'P 1'
_symmetry_Int_Tables_number 1
_symmetry_space_group_name_Hall 'P 1'
_cell_length_a 5.0247
_cell_length_b 5.0247
_cell_length_c 3.9983
_cell_angle_alpha 90.00
_cell_angle_beta 90.00
_cell_angle_gamma 107.79
loop_
_atom_site_label
_atom_site_fract_x
_atom_site_fract_y
_atom_site_fract_z
Mn1 0.0000 0.0000 0.0000
Te1 0.2385 0.7615 0.5000
Te2 0.7615 0.2385 0.5000
As1 0.5000 0.5000 0.0000
```

Properties
- DFT total energy (eV per atom) = -28.2692
- density of states at the Fermi level (states/eV per cell) = 2.2
- E_form (uncorrected) (eV/atom) = -0.03
- SG = Cmmm, No. 65